[1]
The following is a PBE calculation of a geometry-optimized Zn6In structure, from the Alexandria database.

Unit cell a=8.208 b=5.442 c=10.825 alpha=90.00 beta=90.00 gamma=90.00
Fractional coordinates of all 28 atoms:
1 Zn 0.057 0.012 0.193
2 Zn 0.057 0.488 0.193
3 Zn 0.074 0.750 0.412
4 Zn 0.103 0.250 0.981
5 Zn 0.147 0.750 0.650
6 Zn 0.187 0.250 0.733
7 Zn 0.313 0.750 0.233
8 Zn 0.353 0.250 0.150
9 Zn 0.397 0.750 0.481
10 Zn 0.426 0.250 0.912
11 Zn 0.443 0.512 0.693
12 Zn 0.443 0.988 0.693
13 Zn 0.557 0.012 0.307
14 Zn 0.557 0.488 0.307
15 Zn 0.574 0.750 0.088
16 Zn 0.603 0.250 0.519
17 Zn 0.647 0.750 0.850
18 Zn 0.687 0.250 0.767
19 Zn 0.813 0.750 0.267
20 Zn 0.853 0.250 0.350
21 Zn 0.897 0.750 0.019
22 Zn 0.926 0.250 0.588
23 Zn 0.943 0.512 0.807
24 Zn 0.943 0.988 0.807
25 In 0.233 0.250 0.444
26 In 0.267 0.750 0.944
27 In 0.733 0.250 0.056
28 In 0.767 0.750 0.556

Calculated values
DFT formation energy in eV per atom: 0.058
Distance to the lowest polymorph of the same formula in eV/atom: 0.000

***

[2]
The following is a PBE calculation of a geometry-optimized ZrMnFe structure, from the Alexandria database.

Unit cell a=6.807 b=6.807 c=4.276 alpha=90.00 beta=90.00 gamma=152.55
Fractional coordinates of all 6 atoms:
1 Zr 0.088 0.912 0.750
2 Zr 0.912 0.088 0.250
3 Mn 0.390 0.610 0.750
4 Mn 0.610 0.390 0.250
5 Fe 0.248 0.752 0.250
6 Fe 0.752 0.248 0.750

Calculated values
DFT formation energy in eV per atom: 0.074
Distance to the lowest polymorph of the same formula in eV/atom: 0.302

***

[3]
The following is a PBE calculation of a geometry-optimized MnPt7Rh4 structure, from the Alexandria database.

Unit cell a=5.497 b=5.497 c=9.651 alpha=116.74 beta=116.74 gamma=51.45
Fractional coordinates of all 12 atoms:
1 Mn 0.000 0.000 0.000
2 Pt 0.112 0.112 0.457
3 Pt 0.282 0.282 0.080
4 Pt 0.343 0.343 0.381
5 Pt 0.500 0.500 0.000
6 Pt 0.657 0.657 0.619
7 Pt 0.718 0.718 0.920
8 Pt 0.888 0.888 0.543
9 Rh 0.192 0.192 0.770
10 Rh 0.415 0.415 0.690
11 Rh 0.585 0.585 0.310
12 Rh 0.808 0.808 0.230

Calculated values
DFT formation energy in eV per atom: 0.208

***

[4]
The following is a PBE calculation of a geometry-optimized Pu2GaGe structure, from the Alexandria database.

Unit cell a=3.882 b=3.882 c=5.777 alpha=90.00 beta=90.00 gamma=90.00
Fractional coordinates of all 4 atoms:
1 Pu 0.000 0.000 0.243
2 Pu 0.000 0.000 0.757
3 Ga 0.500 0.500 0.500
4 Ge 0.500 0.500 0.000

Calculated values
DFT formation energy in eV per atom: -0.377

***

[5]
The following is a PBE calculation of a geometry-optimized HfBiSe structure, from the Alexandria database.

Unit cell a=3.630 b=3.630 c=7.409 alpha=90.00 beta=90.00 gamma=120.00
Fractional coordinates of all 3 atoms:
1 Hf 0.000 0.000 0.000
2 Bi 0.333 0.667 0.684
3 Se 0.667 0.333 0.214

Calculated values
Formation energy from raw total energies in meV/atom: -716
Distance to the lowest polymorph of the same formula in eV/atom: 0.004

***

[6]
The following is a PBE calculation of a geometry-optimized La4Sm structure, from the Alexandria database.

Unit cell a=5.944 b=5.944 c=5.944 alpha=90.00 beta=90.00 gamma=90.00
Fractional coordinates of all 5 atoms:
1 La 0.000 0.000 0.000
2 La 0.000 0.500 0.500
3 La 0.500 0.000 0.500
4 La 0.500 0.500 0.000
5 Sm 0.500 0.500 0.500

Calculated values
DFT formation energy in eV per atom: 0.524
Distance to the lowest polymorph of the same formula in eV/atom: 0.509

***

[7]
The following is a PBE calculation of a geometry-optimized PmEr3Th2 structure, from the Alexandria database.

Unit cell a=6.165 b=6.165 c=11.239 alpha=100.40 beta=100.40 gamma=109.92
Fractional coordinates of all 12 atoms:
1 Pm 0.125 0.875 0.750
2 Pm 0.875 0.125 0.250
3 Er 0.210 0.460 0.920
4 Er 0.375 0.625 0.250
5 Er 0.460 0.210 0.420
6 Er 0.540 0.790 0.580
7 Er 0.625 0.375 0.750
8 Er 0.790 0.540 0.080
9 Th 0.041 0.291 0.581
10 Th 0.291 0.041 0.081
11 Th 0.709 0.959 0.919
12 Th 0.959 0.709 0.419

Calculated values
DFT formation energy in eV per atom: 0.052
Distance to the lowest polymorph of the same formula in eV/atom: 0.027

***

[8]
The following is a PBE calculation of a geometry-optimized RbFe2BMo structure, from the Alexandria database.

Unit cell a=4.857 b=4.857 c=4.408 alpha=90.00 beta=90.00 gamma=90.00
Fractional coordinates of all 5 atoms:
1 Rb 0.000 0.000 0.000
2 Fe 0.000 0.500 0.500
3 Fe 0.500 0.000 0.500
4 B 0.500 0.500 0.000
5 Mo 0.500 0.500 0.500

Calculated values
DFT formation energy in eV per atom: 1.475

***

> Number 5 is which compound?

HfBiSe

***

> What is the formula in the eighth record?

RbFe2BMo